Entry 1:
Computed, not measured: a geometry-optimized HgAsPt structure at the PBE level of DFT.

## Properties
energy of formation = 0.012 eV/atom
ρ = 12.433 g/cm3

Structure (POSCAR):
```
HgAsPt
1.0
6.6547 -0.0166 0.0177
5.9086 3.0613 0.0142
0.7460 0.1838 3.0724
As Hg Pt
1 1 1
Direct
0.0388 0.0388 0.9612
0.3223 0.3223 0.6777
0.6389 0.6389 0.3611
```

Entry 2:
Computed, not measured: a geometry-optimized CrGaBr3 structure at the PBE level of DFT.

## Properties
ρ = 4.054 g/cm3
raw formation energy = 0.0034 eV per atom

Structure (POSCAR):
```
CrGaBr3
1.0
5.2899 0.0000 0.0000
0.0000 5.2899 0.0000
0.0000 0.0000 5.2899
Cr Ga Br
1 1 3
Direct
0.5000 0.5000 0.5000
0.0000 0.0000 0.0000
0.0000 0.5000 0.0000
0.0000 0.0000 0.5000
0.5000 0.0000 0.0000
```

Entry 3:
Computed, not measured: a geometry-optimized Pm5CuPd4 structure at the PBE level of DFT.

## Properties
energy of formation = -0.644 eV/atom
ρ = 8.669 g/cm3

Structure (POSCAR):
```
Pm5CuPd4
1.0
3.5859 0.0000 0.0000
0.0000 3.5859 0.0000
0.0000 0.0000 18.0884
Pm Cu Pd
5 1 4
Direct
0.5000 0.5000 0.0987
0.5000 0.5000 0.2989
0.5000 0.5000 0.5000
0.5000 0.5000 0.7011
0.5000 0.5000 0.9013
0.0000 0.0000 0.0000
0.0000 0.0000 0.1980
0.0000 0.0000 0.3993
0.0000 0.0000 0.6007
0.0000 0.0000 0.8020
```

Among the records above, which one has the highest ρ?
HgAsPt

Which of these has the highest ρ?
HgAsPt

What is the ρ in the first record?
12.433 g/cm3

The lowest ρ belongs to which entry?
CrGaBr3